Record 1
This record from Alexandria describes Ge2AsH after structural relaxation. The functional is PBE-GGA.

Theoretical density = 4.5 g/cm³
Fermi-level density of states = 1.85 states/eV per cell
Symmetry = R-3m, No. 166
Magnetic moment = 0.000 μB per formula unit
Energy relative to the lowest polymorph listed for this composition = 0.77 eV/f.u.

Lattice parameters (Å, degrees): 3.7120 3.7120 7.0982 74.84 74.84 60.00
Element x y z (fractional)
Ge (0.0896, 0.0896, 0.7313)
As (0.5000, 0.5000, 0.5000)
Ge (0.9104, 0.9104, 0.2687)
H (0.0000, 0.0000, 0.0000)

***

Record 2
This record from Alexandria describes GeAs2H after structural relaxation. The functional is PBE-GGA.

Theoretical density = 5.1 g/cm³
Fermi-level density of states = 2.34 states/eV per cell
Symmetry = I-42d, No. 122
Magnetic moment = 0.000 μB per formula unit
Energy relative to the lowest polymorph listed for this composition = 1.06 eV/f.u.

Lattice parameters (Å, degrees): 5.3541 5.3541 6.3586 65.10 65.10 90.00
Element x y z (fractional)
As (0.8750, 0.8107, 0.7500)
As (0.1893, 0.6250, 0.2500)
Ge (0.0000, 0.0000, 0.0000)
Ge (0.7500, 0.2500, 0.5000)
H (0.2500, 0.7500, 0.5000)
As (0.3750, 0.4393, 0.7500)
As (0.5607, 0.1250, 0.2500)
H (0.5000, 0.5000, 0.0000)

***

Record 3
This record from Alexandria describes GeAs2H after structural relaxation. The functional is PBE-GGA.

Theoretical density = 4.4 g/cm³
Symmetry = C2, No. 5
Magnetic moment = 0.000 μB per formula unit
Energy relative to the lowest polymorph listed for this composition = 0.00 eV/f.u.

Lattice parameters (Å, degrees): 3.8532 7.2887 6.9622 114.34 90.01 105.31
Element x y z (fractional)
As (0.8478, 0.5013, 0.4058)
Ge (0.2633, 0.3340, 0.5107)
H (0.0058, 0.8359, 0.2738)
As (0.4741, 0.3451, 0.8638)
Ge (0.5978, 0.0031, 0.6306)
As (0.7981, 0.9921, 0.2777)
As (0.0154, 0.8362, 0.7360)
H (0.8374, 0.5021, 0.8686)

***

Record 4
This record from Alexandria describes GeAs3H after structural relaxation. The functional is PBE-GGA.

Theoretical density = 6.1 g/cm³
Fermi-level density of states = 2.60 states/eV per cell
Symmetry = Pm-3m, No. 221
Magnetic moment = 0.000 μB per formula unit
Energy relative to the lowest polymorph listed for this composition = 0.00 eV/f.u.

Lattice parameters (Å, degrees): 4.3424 4.3424 4.3424 90.00 90.00 90.00
Element x y z (fractional)
H (0.0000, 0.0000, 0.0000)
As (0.0000, 0.0000, 0.5000)
As (0.0000, 0.5000, 0.0000)
Ge (0.5000, 0.5000, 0.5000)
As (0.5000, 0.0000, 0.0000)

***

Record 5
This record from Alexandria describes GeAs3H after structural relaxation. The functional is PBE-GGA.

Theoretical density = 4.0 g/cm³
Fermi-level density of states = 3.17 states/eV per cell
Symmetry = Pm-3m, No. 221
Magnetic moment = 0.686 μB per formula unit
Energy relative to the lowest polymorph listed for this composition = 3.29 eV/f.u.

Lattice parameters (Å, degrees): 4.9919 4.9919 4.9919 90.00 90.00 90.00
Site moments in Bohr magnetons follow the coordinates.
Element x y z (fractional)
Ge (0.0000, 0.0000, 0.0000)  -0.01
As (0.5000, 0.0000, 0.0000)  0.00
As (0.0000, 0.5000, 0.0000)  0.00
H (0.5000, 0.5000, 0.5000)  0.32
As (0.0000, 0.0000, 0.5000)  -0.03

***

Record 6
This record from Alexandria describes GeAs2H after structural relaxation. The functional is PBE-GGA.

Theoretical density = 4.7 g/cm³
Fermi-level density of states = 1.98 states/eV per cell
Symmetry = R-3m, No. 166
Magnetic moment = 0.000 μB per formula unit
Energy relative to the lowest polymorph listed for this composition = 1.07 eV/f.u.

Lattice parameters (Å, degrees): 3.7500 3.7500 6.8929 74.22 74.22 60.00
Element x y z (fractional)
As (0.9079, 0.9079, 0.2762)
As (0.0921, 0.0921, 0.7238)
Ge (0.5000, 0.5000, 0.5000)
H (0.0000, 0.0000, 0.0000)

***

Record 7
This record from Alexandria describes HgGeAsH2 after structural relaxation. The functional is PBE-GGA.

Theoretical density = 6.8 g/cm³
Fermi-level density of states = 1.75 states/eV per cell
Symmetry = P4/mmm, No. 123
Magnetic moment = 0.000 μB per formula unit
VASP energy = -2.819 eV/atom

Lattice parameters (Å, degrees): 3.6749 6.3701 3.6749 90.00 90.00 90.00
Element x y z (fractional)
H (0.5000, 0.0000, 0.0000)
Ge (0.0000, 0.5000, 0.0000)
H (0.0000, 0.0000, 0.5000)
Hg (0.0000, 0.0000, 0.0000)
As (0.5000, 0.5000, 0.5000)

***

Record 8
This record from Alexandria describes InGe2AsH after structural relaxation. The functional is PBE-GGA.

Theoretical density = 3.7 g/cm³
Fermi-level density of states = 3.14 states/eV per cell
Symmetry = P4/mmm, No. 123
Magnetic moment = 0.807 μB per formula unit
VASP energy = -2.680 eV/atom

Lattice parameters (Å, degrees): 5.4001 5.2291 5.4001 90.00 90.00 90.00
Site moments in Bohr magnetons follow the coordinates.
Element x y z (fractional)
H (0.5000, 0.5000, 0.5000)  0.34
Ge (0.0000, 0.0000, 0.5000)  -0.05
Ge (0.5000, 0.0000, 0.0000)  -0.01
In (0.0000, 0.0000, 0.0000)  0.01
As (0.0000, 0.5000, 0.0000)  0.07

***

Record 9
This record from Alexandria describes LaZrGeAsH after structural relaxation. The functional is PBE-GGA.

Theoretical density = 6.0 g/cm³
Fermi-level density of states = 11.09 states/eV per cell
Symmetry = R3m, No. 160
Magnetic moment = 0.000 μB per formula unit
Energy relative to the lowest polymorph listed for this composition = 0.41 eV/f.u.

Lattice parameters (Å, degrees): 4.1591 4.1591 20.8509 90.00 90.00 120.00
Element x y z (fractional)
H (0.3333, 0.6667, 0.9395)
Ge (0.0000, 0.0000, 0.3581)
La (0.6667, 0.3333, 0.2515)
Zr (0.3333, 0.6667, 0.7613)
Ge (0.6667, 0.3333, 0.6914)
La (0.0000, 0.0000, 0.9182)
H (0.6667, 0.3333, 0.6062)
H (0.0000, 0.0000, 0.2728)
Zr (0.6667, 0.3333, 0.4280)
Ge (0.3333, 0.6667, 0.0247)
Zr (0.0000, 0.0000, 0.0946)
La (0.3333, 0.6667, 0.5848)
As (0.0000, 0.0000, 0.4977)
As (0.3333, 0.6667, 0.1643)
As (0.6667, 0.3333, 0.8310)

***

Record 10
This record from Alexandria describes LaZrGeAsH after structural relaxation. The functional is PBE-GGA.

Theoretical density = 6.4 g/cm³
Fermi-level density of states = 1.97 states/eV per cell
Symmetry = Pm, No. 6
Magnetic moment = 0.000 μB per formula unit
Energy relative to the lowest polymorph listed for this composition = 0.57 eV/f.u.

Lattice parameters (Å, degrees): 3.4929 3.8637 7.2768 90.00 96.82 90.00
Element x y z (fractional)
Ge (0.6758, 0.5000, 0.2049)
As (0.2884, 0.5000, 0.6558)
H (0.1903, 0.0000, 0.3298)
La (0.1250, 0.0000, 0.9816)
Zr (0.7263, 0.0000, 0.4786)

***

Record 11
This record from Alexandria describes LaZrGeAsH after structural relaxation. The functional is PBE-GGA.

Theoretical density = 6.3 g/cm³
Fermi-level density of states = 4.09 states/eV per cell
Symmetry = Imm2, No. 44
Magnetic moment = 0.000 μB per formula unit
Energy relative to the lowest polymorph listed for this composition = 0.53 eV/f.u.

Lattice parameters (Å, degrees): 3.8809 3.5592 14.5403 90.00 90.00 90.00
Element x y z (fractional)
La (0.0000, 0.0000, 0.2806)
As (0.0000, 0.5000, 0.4547)
Ge (0.0000, 0.0000, 0.6709)
Zr (0.5000, 0.0000, 0.5337)
H (0.5000, 0.5000, 0.6087)
La (0.5000, 0.5000, 0.7806)
Ge (0.5000, 0.5000, 0.1709)
As (0.5000, 0.0000, 0.9547)
H (0.0000, 0.0000, 0.1087)
Zr (0.0000, 0.5000, 0.0337)

***

Record 12
This record from Alexandria describes LaZrGeAsH after structural relaxation. The functional is PBE-GGA.

Theoretical density = 6.3 g/cm³
Fermi-level density of states = 1.93 states/eV per cell
Symmetry = P3m1, No. 156
Magnetic moment = 0.001 μB per formula unit
Energy relative to the lowest polymorph listed for this composition = 0.02 eV/f.u.

Lattice parameters (Å, degrees): 4.2485 4.2485 6.3726 90.00 90.00 120.00
Element x y z (fractional)
La (0.3333, 0.6667, 0.1945)
Zr (0.6667, 0.3333, 0.7184)
Ge (0.0000, 0.0000, 0.9050)
As (0.0000, 0.0000, 0.4855)
H (0.6667, 0.3333, 0.0460)